No. 1
SmGa2Ge | PBE | relaxed

Summary:
**Distance to the lowest polymorph of the same formula**: 190 meV/atom
**Space-group type**: R-3m (166)
**Crystal system**: trigonal
**Electronic total energy**: -4.167 eV per atom

abc: 5.6861 5.6861 5.6861
angles: 46.19 46.19 46.19
Closest atoms and distances in Å follow each position.
Fractional positions:
Sm1 0.0000 0.0000 0.0000  8 Ga 3.10-3.34
Ga1 0.2195 0.2195 0.2195  3 Ge 2.70
Ga2 0.7805 0.7805 0.7805  3 Ge 2.70
Ge1 0.5000 0.5000 0.5000  6 Ga 2.70

***

No. 2
SmGa2Ge | PBE | relaxed

Summary:
**Distance to the lowest polymorph of the same formula**: 96 meV/atom
**Space-group type**: Cmcm (63)
**Crystal system**: orthorhombic
**Electronic total energy**: -4.261 eV per atom

abc: 5.8506 5.8506 7.6039
angles: 90.00 90.00 139.37
Closest atoms and distances in Å follow each position.
Fractional positions:
Sm1 0.0823 0.9177 0.7500  3 Ge 3.06-3.20, 8 Ga 3.16-3.26
Sm2 0.9177 0.0823 0.2500  3 Ge 3.06-3.20, 8 Ga 3.16-3.26
Ga1 0.3877 0.6123 0.5659  2 Ga 2.66-2.80, 2 Ge 2.69
Ga2 0.3877 0.6123 0.9341  2 Ga 2.66-2.80, 2 Ge 2.69
Ga3 0.6123 0.3877 0.0659  2 Ga 2.66-2.80, 2 Ge 2.69
Ga4 0.6123 0.3877 0.4341  2 Ga 2.66-2.80, 2 Ge 2.69
Ge1 0.2093 0.7907 0.2500  4 Ga 2.69
Ge2 0.7907 0.2093 0.7500  4 Ga 2.69

***

No. 3
Sm3Ga3Ge2 | PBE | relaxed

Summary:
**Space-group type**: Cmcm (63)
**Crystal system**: orthorhombic
**Electronic total energy**: -4.747 eV per atom

abc: 5.9908 5.9908 15.7400
angles: 90.00 90.00 139.66
Closest atoms and distances in Å follow each position.
Fractional positions:
Sm1 0.0721 0.9279 0.7500  3 Ga 2.96-3.00, 4 Ge 3.06
Sm2 0.3571 0.6429 0.5911  4 Ge 3.09-3.40, 7 Ga 3.17-3.31
Sm3 0.3571 0.6429 0.9089  4 Ge 3.09-3.40, 7 Ga 3.17-3.31
Sm4 0.6429 0.3571 0.0911  4 Ge 3.09-3.40, 7 Ga 3.17-3.31
Sm5 0.6429 0.3571 0.4089  4 Ge 3.09-3.40, 7 Ga 3.17-3.31
Sm6 0.9279 0.0721 0.2500  3 Ga 2.96-3.00, 4 Ge 3.06
Ga1 0.0661 0.9339 0.5594  1 Ga 2.39, 2 Ge 2.49
Ga2 0.0661 0.9339 0.9406  1 Ga 2.39, 2 Ge 2.49
Ga3 0.1908 0.8092 0.2500  2 Ge 2.67, 1 Sm 2.96
Ga4 0.8092 0.1908 0.7500  2 Ge 2.67, 1 Sm 2.96
Ga5 0.9339 0.0661 0.0594  1 Ga 2.39, 2 Ge 2.49
Ga6 0.9339 0.0661 0.4406  1 Ga 2.39, 2 Ge 2.49
Ge1 0.3437 0.6563 0.1200  3 Ga 2.49-2.67
Ge2 0.3437 0.6563 0.3800  3 Ga 2.49-2.67
Ge3 0.6563 0.3437 0.6200  3 Ga 2.49-2.67
Ge4 0.6563 0.3437 0.8800  3 Ga 2.49-2.67

***

No. 4
Sm3GaGe4 | PBE | relaxed

Summary:
**Space-group type**: Immm (71)
**Crystal system**: orthorhombic
**Electronic total energy**: -5.034 eV per atom

abc: 8.3661 8.3661 8.3661
angles: 149.52 137.72 53.01
Closest atoms and distances in Å follow each position.
Fractional positions:
Sm1 0.0000 0.0000 0.0000  8 Ge 3.15
Sm2 0.3144 0.8144 0.5000  6 Ge 2.97-3.07
Sm3 0.6856 0.1856 0.5000  6 Ge 2.97-3.07
Ga1 0.5000 0.5000 0.0000  4 Ge 2.61
Ge1 0.0772 0.3734 0.7038  1 Ge 2.46, 1 Ga 2.61
Ge2 0.3304 0.6266 0.7038  1 Ge 2.46, 1 Ga 2.61
Ge3 0.6696 0.3734 0.2962  1 Ge 2.46, 1 Ga 2.61
Ge4 0.9228 0.6266 0.2962  1 Ge 2.46, 1 Ga 2.61